GGA-PBE LiTe2As, relaxed; uncorrected formation energy = -0.360 eV/atom; energy above the most stable polymorph in this dataset = 0 meV/atom
1.0
5.681 0.121 -0.002
0.100 4.543 -0.002
0.001 -0.003 8.647
Te As Li
4 2 2
Direct
0.203 0.166 0.468
0.691 0.684 0.228
0.703 0.666 0.749
0.191 0.183 0.988
0.210 0.797 0.231
0.710 0.297 0.985
0.701 0.287 0.490
0.200 0.786 0.725